# Pa2MnAgO8 | Alexandria | PBE with a Hubbard U | relaxed
data_Pa2MnAgO8
_chemical_formula_sum 'Pa2 Mn1 Ag1 O8'
_space_group_name_H-M_alt 'P 1'
_space_group_IT_number 1
_cell_length_a 6.363
_cell_length_b 6.363
_cell_length_c 4.666
_cell_angle_alpha 90.00
_cell_angle_beta 90.00
_cell_angle_gamma 120.00
loop_
_space_group_symop_operation_xyz
'x,y,z'
loop_
_atom_site_label
_atom_site_type_symbol
_atom_site_fract_x
_atom_site_fract_y
_atom_site_fract_z
_atom_site_occupancy
Pa1 Pa 0.333 0.667 0.000 1
Pa2 Pa 0.667 0.333 0.000 1
Mn1 Mn 0.000 0.000 0.500 1
Ag1 Ag 0.000 0.000 0.000 1
O1 O 0.000 0.325 0.185 1
O2 O 0.000 0.675 0.815 1
O3 O 0.325 0.000 0.185 1
O4 O 0.325 0.325 0.815 1
O5 O 0.333 0.667 0.500 1
O6 O 0.667 0.333 0.500 1
O7 O 0.675 0.000 0.815 1
O8 O 0.675 0.675 0.185 1
# Mass density (g/cm³): 7.6
# V (Å³ per atom): 13.63
# Electronic total energy (eV/atom): -7.5468